No. 1
The following is a DFT calculation (PBE) of crystalline CsBa3Mg at its relaxed geometry.

- Crystal system: cubic
- Uncorrected energy: -0.0338 hartree per atom
- Energy above the lowest structure with this stoichiometry: 0.5424 eV/atom

```
data_CsBa3Mg
_chemical_formula_sum 'Cs1 Ba3 Mg1'
_symmetry_space_group_name_H-M 'P m -3 m'
_symmetry_Int_Tables_number 221
_symmetry_space_group_name_Hall '-P 4 2 3'
_cell_length_a 6.540
_cell_length_b 6.540
_cell_length_c 6.540
_cell_angle_alpha 90.00
_cell_angle_beta 90.00
_cell_angle_gamma 90.00
loop_
_atom_site_label
_atom_site_fract_x
_atom_site_fract_y
_atom_site_fract_z
Cs1 0.000 0.000 0.000
Ba1 0.000 0.000 0.500
Mg1 0.500 0.500 0.500
```



No. 2
The following is a DFT calculation (PBE) of crystalline Ag3BiN at its relaxed geometry.

- Crystal system: cubic
- Formation energy from raw total energies: 7.14 eV/f.u.
- Uncorrected energy: -0.1001 hartree per atom
- Energy above the lowest structure with this stoichiometry: 0.7536 eV/atom

```
data_Ag3BiN
_chemical_formula_sum 'Ag3 Bi1 N1'
_symmetry_space_group_name_H-M 'P m -3 m'
_symmetry_Int_Tables_number 221
_symmetry_space_group_name_Hall '-P 4 2 3'
_cell_length_a 5.488
_cell_length_b 5.488
_cell_length_c 5.488
_cell_angle_alpha 90.00
_cell_angle_beta 90.00
_cell_angle_gamma 90.00
loop_
_atom_site_label
_atom_site_fract_x
_atom_site_fract_y
_atom_site_fract_z
Ag1 0.000 0.000 0.500
Bi1 0.000 0.000 0.000
N1 0.500 0.500 0.500
```